Compound: CdIn4Sn4
Source: Alexandria via LeMat-Bulk
Functional: PBE
Structure: optimized geometry

Lattice parameters (Å, degrees): 7.4964 7.4964 7.4964 96.05 96.05 142.11
Fractional positions:
Cd  0.0000  0.0000  0.0000
In  0.0000  0.3289  0.3289
In  0.0000  0.6711  0.6711
In  0.3289  0.0000  0.3289
In  0.6711  0.0000  0.6711
Sn  0.3360  0.3360  0.6719
Sn  0.3360  0.6640  0.0000
Sn  0.6640  0.3360  0.0000
Sn  0.6640  0.6640  0.3281

As for the total moment: 0.00 Bohr magnetons per cell. The calculation puts the formation energy at 0.863 kcal/mol of atoms. Its density is 7.10 Mg/m³. As for the space-group type: No. 139. The density of states at the Fermi level comes out at 3.70 states/eV per cell. The total energy is -0.1125 hartree per atom.